# 1
Material: TlCd5
Method: DFT, SCAN
State: PBEsol geometry

The calculation puts the energy of formation at 0.37 eV/f.u. The energy relative to the lowest polymorph listed for this composition is 0.022 eV/atom.

a b c (Å): 5.4930 3.0693 15.8235
angles (deg): 90.00 90.00 90.00
Last column: nearest neighbours and their distance in Å.
Space group Amm2 (No. 38)
Symmetry-distinct sites (fractional):
Tl: 0.0000 0.0000 0.0000 x2  2 Tl 3.07, 10 Cd 3.11-3.31
Cd: 0.0000 0.0000 0.3286 x2  10 Cd 2.92-3.27, 2 Tl 3.12
Cd: 0.0000 0.0000 0.6712 x2  8 Cd 2.92-3.23, 2 Tl 3.11
Cd: 0.5000 0.0000 0.2170 x2  12 Cd 3.02-3.27
Cd: 0.5000 0.0000 0.5529 x2  8 Cd 3.02-3.32, 4 Tl 3.26
Cd: 0.5000 0.0000 0.8836 x2  10 Cd 3.05-3.26, 2 Tl 3.31



# 2
Material: AlTc2Ag
Method: DFT, SCAN
State: PBEsol geometry

The calculation puts the energy of formation at 0.38 eV/f.u.

a b c (Å): 2.9184 4.5525 8.9455
angles (deg): 90.00 90.00 90.00
Last column: nearest neighbours and their distance in Å.
Space group Cmm2 (No. 35)
Symmetry-distinct sites (fractional):
Al: 0.0000 0.0000 0.0000 x2  2 Tc 2.59, 2 Ag 2.69, 4 Al 2.70
Tc: 0.0000 0.0000 0.4728 x2  6 Tc 2.55-2.70
Tc: 0.0000 0.5000 0.2396 x2  6 Tc 2.55-2.70, 2 Al 2.59
Ag: 0.0000 0.5000 0.7478 x2  2 Al 2.69, 6 Ag 2.70-2.92, 2 Tc 2.86



# 3
Material: Y2TlSe
Method: DFT, SCAN
State: PBEsol geometry

As for the formation energy without anion corrections: -1.10 eV/atom. The energy relative to the lowest polymorph listed for this composition is 0.203 eV/atom.

a b c (Å): 3.4629 3.4629 7.9131
angles (deg): 90.00 90.00 90.00
Last column: nearest neighbours and their distance in Å.
Space group P4/mmm (No. 123)
Symmetry-distinct sites (fractional):
Y: 0.0000 0.0000 0.2277 x2  4 Se 3.04, 4 Tl 3.26
Tl: 0.5000 0.5000 0.5000 x1  8 Y 3.26, 4 Tl 3.46
Se: 0.5000 0.5000 0.0000 x1  8 Y 3.04



no.,raw total energy (eV for the cell shown)
1,-448.1
2,-217.7
3,-152.5